Material: Ac2CeReO8
Method: DFT, PBE
State: optimized geometry

It has space group P-1 (No. 2), with a = 4.933 Å, b = 5.423 Å, c = 7.259 Å, α = 90.16°, β = 92.39° and γ = 92.34°. The inequivalent atoms are Ac at (0.076, 0.031, 0.262), Ce at (0.500, 0.500, 0.000), Re at (0.500, 0.500, 0.500), O at (0.196, 0.211, 0.975), O at (0.210, 0.281, 0.541), O at (0.311, 0.637, 0.277) and O at (0.377, 0.733, 0.695).

The calculation puts the theoretical density at 7.78 g/cm3.

---

Material: AcCeRhO6
Method: DFT, PBE
State: optimized geometry

It has space group P-31c (No. 163), with a = 5.5914 Å, b = 5.5914 Å, c = 10.5948 Å, α = 90.00°, β = 90.00° and γ = 120.00°. The inequivalent atoms are Ac at (0.0000, 0.0000, 0.0000), Ce at (0.3333, 0.6667, 0.2500), Rh at (0.3333, 0.6667, 0.7500) and O at (0.0341, 0.3773, 0.6434).

The calculation puts the theoretical density at 6.55 g/cm3.

---

Material: Ac2CeRh3O12
Method: DFT, PBE
State: optimized geometry

It has space group R-3m (No. 166, hexagonal axes), with a = 7.1745 Å, b = 7.1745 Å, c = 16.1015 Å, α = 90.00°, β = 90.00° and γ = 120.00°. The inequivalent atoms are Ac at (0.0000, 0.0000, 0.1139), Ce at (0.0000, 0.0000, 0.5000), Rh at (0.0000, 0.5000, 0.0000), O at (0.0487, 0.5244, 0.8797) and O at (0.0583, 0.5291, 0.3020).

The calculation puts the theoretical density at 7.60 g/cm3.

---

Material: AcCe2RuO8
Method: DFT, PBE
State: optimized geometry

It has space group P2/m (No. 10), with a = 5.121 Å, b = 7.110 Å, c = 5.126 Å, α = 90.00°, β = 90.99° and γ = 90.00°. The inequivalent atoms are Ac at (0.000, 0.000, 0.000), Ce at (0.500, 0.260, 0.500), Ru at (0.000, 0.500, 0.000), O at (0.188, 0.297, 0.191), O at (0.278, 0.500, 0.724) and O at (0.331, 0.000, 0.675).

The calculation puts the theoretical density at 6.55 g/cm3.

---

Which raw total energy belongs to each record? In order, -8.22; -7.49; -7.09; -7.97 eV/atom.